(1)
First-principles (GGA-PBEsol) data for a geometry-optimized MgCdCo structure, as listed in Alexandria via LeMat-Bulk.

a b c (Å): 2.765 4.445 4.445
angles (deg): 120.00 90.00 90.00
Each line ends with the local moment (μB).
Element x y z (fractional)
Cd 0.981 0.000 0.000  -0.02
Co 0.655 0.333 0.667  1.13
Mg 0.364 0.667 0.333  -0.01

Output
Total energy = -3.32 eV per atom
Space-group type = P3m1 (156)
Fermi-level density of states = 1.8 states/eV per cell

=====

(2)
First-principles (GGA-PBEsol) data for a geometry-optimized Mg30CdCoO32 structure, as listed in Alexandria via LeMat-Bulk.

a b c (Å): 8.482 8.482 8.468
angles (deg): 90.00 90.00 90.00
Each line ends with the local moment (μB).
Element x y z (fractional)
Mg 0.000 0.500 0.000  0.01
Mg 0.000 0.500 0.500  0.00
Mg 0.500 0.000 0.000  0.01
Mg 0.500 0.000 0.500  0.00
Mg 0.500 0.500 0.000  0.00
Mg 0.500 0.500 0.500  0.00
Mg 0.000 0.252 0.247  0.00
Mg 0.000 0.252 0.753  0.00
Mg 0.000 0.748 0.247  0.00
Mg 0.000 0.748 0.753  0.00
Mg 0.500 0.250 0.249  0.00
Mg 0.500 0.250 0.751  0.00
Mg 0.500 0.750 0.249  0.00
Mg 0.500 0.750 0.751  0.00
Mg 0.252 0.000 0.247  0.00
Mg 0.252 0.000 0.753  0.00
Mg 0.250 0.500 0.249  0.00
Mg 0.250 0.500 0.751  0.00
Mg 0.748 0.000 0.247  0.00
Mg 0.748 0.000 0.753  0.00
Mg 0.750 0.500 0.249  0.00
Mg 0.750 0.500 0.751  0.00
Mg 0.249 0.249 0.000  0.00
Mg 0.252 0.252 0.500  0.00
Mg 0.249 0.751 0.000  0.00
Mg 0.252 0.748 0.500  0.00
Mg 0.751 0.249 0.000  0.00
Mg 0.748 0.252 0.500  0.00
Mg 0.751 0.751 0.000  0.00
Mg 0.748 0.748 0.500  0.00
Cd 0.000 0.000 0.500  0.02
Co 0.000 0.000 0.000  2.50
O 0.255 0.000 0.000  0.05
O 0.263 0.000 0.500  0.01
O 0.251 0.500 0.000  0.00
O 0.252 0.500 0.500  0.00
O 0.745 0.000 0.000  0.05
O 0.737 0.000 0.500  0.01
O 0.749 0.500 0.000  0.00
O 0.748 0.500 0.500  0.00
O 0.249 0.249 0.250  0.00
O 0.249 0.249 0.750  0.00
O 0.249 0.751 0.250  0.00
O 0.249 0.751 0.750  0.00
O 0.751 0.249 0.250  0.00
O 0.751 0.249 0.750  0.00
O 0.751 0.751 0.250  0.00
O 0.751 0.751 0.750  0.00
O 0.000 0.000 0.235  0.06
O 0.000 0.000 0.765  0.06
O 0.000 0.500 0.249  0.00
O 0.000 0.500 0.751  0.00
O 0.500 0.000 0.249  0.00
O 0.500 0.000 0.751  0.00
O 0.500 0.500 0.250  0.00
O 0.500 0.500 0.750  0.00
O 0.000 0.255 0.000  0.05
O 0.000 0.263 0.500  0.01
O 0.000 0.745 0.000  0.05
O 0.000 0.737 0.500  0.01
O 0.500 0.251 0.000  0.00
O 0.500 0.252 0.500  0.00
O 0.500 0.749 0.000  0.00
O 0.500 0.748 0.500  0.00

Output
Total energy = -6.18 eV per atom
Space-group type = P4/mmm (123)
Formation energy (no corrections) = -60.1 kcal/mol of atoms
Fermi-level density of states = 9.5 states/eV per cell